This record from Alexandria via LeMat-Bulk describes a relaxed LaNiHg crystal. The functional is PBE.

Calculated values
DFT formation energy   0.21 eV/atom
E_tot   -3.462 eV/atom
Crystal system   cubic

Unit cell a=7.018 b=7.018 c=7.018 alpha=90.00 beta=90.00 gamma=90.00
Space group F-43m (No. 216)
Symmetry-distinct sites (fractional):
La1 0.000 0.000 0.000
Ni1 0.250 0.250 0.250
Hg1 0.250 0.250 0.750